# 1
A plane-wave DFT calculation with PBE was carried out for NdSmGd2 after structural relaxation.

As for the energy of formation: 8 kJ/mol of formula units. The value obtained for the size of the total moment is 14.5 μB per formula unit. The energy above the lowest structure with this stoichiometry is 0.003 eV/atom. Its calculated total energy is -9.3918 eV/atom.

Cell lengths 3.621, 3.621, 10.217 Å; angles 90.00, 90.00, 90.00 degrees
Positions (direct):
1 Nd 0.000 0.000 0.000
2 Sm 0.000 0.000 0.500
3 Gd 0.500 0.500 0.252
4 Gd 0.500 0.500 0.748



# 2
A plane-wave DFT calculation with PBE was carried out for NdSmGd4 after structural relaxation.

As for the energy of formation: 150 kJ/mol of formula units. The value obtained for the size of the total moment is 28.8 μB per formula unit. Its calculated total energy is -10.7090 eV/atom.

Cell lengths 6.639, 6.639, 6.639 Å; angles 60.00, 60.00, 60.00 degrees
Positions (direct):
1 Nd 0.000 0.000 0.000
2 Sm 0.250 0.250 0.250
3 Gd 0.125 0.625 0.625
4 Gd 0.625 0.125 0.625
5 Gd 0.625 0.625 0.125
6 Gd 0.625 0.625 0.625



# 3
A plane-wave DFT calculation with PBE was carried out for NdSmGd after structural relaxation.

As for the energy of formation: 5 kJ/mol of formula units. The value obtained for the size of the total moment is 7.3 μB per formula unit. The energy above the lowest structure with this stoichiometry is 0.000 eV/atom. Its calculated total energy is -7.8395 eV/atom.

Cell lengths 3.638, 3.638, 8.869 Å; angles 90.00, 90.00, 120.00 degrees
Positions (direct):
1 Nd 0.000 0.000 0.000
2 Sm 0.667 0.333 0.336
3 Gd 0.333 0.667 0.666



# 4
A plane-wave DFT calculation with PBE was carried out for NdSmGd after structural relaxation.

As for the energy of formation: 30 kJ/mol of formula units. The value obtained for the size of the total moment is 8.0 μB per formula unit. The energy above the lowest structure with this stoichiometry is 0.086 eV/atom. Its calculated total energy is -7.7535 eV/atom.

Cell lengths 4.245, 4.245, 11.346 Å; angles 90.00, 90.00, 90.00 degrees
Positions (direct):
1 Nd 0.000 0.000 0.000
2 Nd 0.500 0.500 0.500
3 Sm 0.000 0.000 0.675
4 Sm 0.500 0.500 0.175
5 Gd 0.000 0.000 0.334
6 Gd 0.500 0.500 0.834



# 5
A plane-wave DFT calculation with PBE was carried out for NdSmGd2 after structural relaxation.

As for the energy of formation: 57 kJ/mol of formula units. The value obtained for the size of the total moment is 15.5 μB per formula unit. The energy above the lowest structure with this stoichiometry is 0.131 eV/atom. Its calculated total energy is -9.2641 eV/atom.

Cell lengths 3.541, 3.541, 37.578 Å; angles 90.00, 90.00, 120.00 degrees
Positions (direct):
1 Nd 0.000 0.000 0.000
2 Nd 0.333 0.667 0.667
3 Nd 0.667 0.333 0.333
4 Sm 0.000 0.000 0.500
5 Sm 0.333 0.667 0.167
6 Sm 0.667 0.333 0.833
7 Gd 0.000 0.000 0.090
8 Gd 0.000 0.000 0.910
9 Gd 0.333 0.667 0.577
10 Gd 0.333 0.667 0.756
11 Gd 0.667 0.333 0.244
12 Gd 0.667 0.333 0.423



# 6
A plane-wave DFT calculation with PBE was carried out for Nd2SmGd after structural relaxation.

As for the energy of formation: 64 kJ/mol of formula units. The value obtained for the size of the total moment is 7.0 μB per formula unit. The energy above the lowest structure with this stoichiometry is 0.155 eV/atom. Its calculated total energy is -6.9181 eV/atom.

Cell lengths 3.554, 3.554, 37.981 Å; angles 90.00, 90.00, 120.00 degrees
Positions (direct):
1 Nd 0.000 0.000 0.089
2 Nd 0.000 0.000 0.911
3 Nd 0.333 0.667 0.577
4 Nd 0.333 0.667 0.756
5 Nd 0.667 0.333 0.244
6 Nd 0.667 0.333 0.423
7 Sm 0.000 0.000 0.000
8 Sm 0.333 0.667 0.667
9 Sm 0.667 0.333 0.333
10 Gd 0.000 0.000 0.500
11 Gd 0.333 0.667 0.167
12 Gd 0.667 0.333 0.833